VASP calculation (PBE) on crystalline BP2PbO at its relaxed geometry.

abc: 5.642 5.642 2.698
angles: 90.00 90.00 90.00
Atoms (fractional coordinates):
P: 0.000 0.500 0.000
P: 0.500 0.000 0.000
B: 0.000 0.000 0.000
O: 0.000 0.000 0.500
Pb: 0.500 0.500 0.500

**Space group**: P4/mmm, No. 123
**Distance to the lowest polymorph of the same formula**: 0 meV/atom

VASP calculation (PBE) on crystalline La3TcB2N6 at its relaxed geometry.

abc: 5.440 5.440 6.347
angles: 90.00 90.00 120.00
Atoms (fractional coordinates):
N: 0.179 0.357 0.293
N: 0.821 0.643 0.707
N: 0.643 0.821 0.293
N: 0.357 0.179 0.707
N: 0.821 0.179 0.707
N: 0.179 0.821 0.293
B: 0.333 0.667 0.271
B: 0.667 0.333 0.729
La: 0.000 0.000 0.000
La: 0.333 0.667 0.671
La: 0.667 0.333 0.329
Tc: 0.000 0.000 0.500

**E_tot**: -8.33 eV per atom
**Space group**: P-3m1, No. 164

VASP calculation (PBE) on crystalline CaLa2Rh at its relaxed geometry.

abc: 6.917 6.917 6.917
angles: 148.78 133.20 57.33
Atoms (fractional coordinates):
Rh: 0.492 0.492 0.000
La: 0.320 0.820 0.500
La: 0.002 0.002 0.000
Ca: 0.687 0.187 0.500

**Space group**: Imm2, No. 44
**E_form**: -276 meV/atom
**Distance to the lowest polymorph of the same formula**: 128 meV/atom

VASP calculation (PBE) on crystalline AcTb7Nd3 at its relaxed geometry.

abc: 6.577 7.744 7.743
angles: 80.93 86.21 86.20
Atoms (fractional coordinates):
Nd: 0.000 0.824 0.176
Nd: 0.500 0.000 0.000
Nd: 0.000 0.176 0.824
Tb: 0.799 0.235 0.235
Tb: 0.259 0.425 0.080
Tb: 0.000 0.500 0.500
Tb: 0.201 0.765 0.765
Tb: 0.259 0.080 0.425
Tb: 0.741 0.575 0.920
Tb: 0.741 0.920 0.575
Ac: 0.500 0.500 0.500

**Space group**: C2/m, No. 12
**E_form**: 214 meV/atom
**Distance to the lowest polymorph of the same formula**: 20 meV/atom

VASP calculation (PBE) on crystalline CeGd2Tc at its relaxed geometry.

abc: 3.454 3.454 10.337
angles: 80.38 80.38 60.00
Atoms (fractional coordinates):
Gd: 0.734 0.734 0.798
Gd: 0.266 0.266 0.202
Ce: 0.500 0.500 0.500
Tc: 0.000 0.000 0.000

**Space group**: R-3m, No. 166
**E_form**: 229 meV/atom
**Distance to the lowest polymorph of the same formula**: 118 meV/atom

VASP calculation (PBE) on crystalline Li2Mn2Pd at its relaxed geometry.

abc: 3.026 3.026 8.422
angles: 79.65 79.65 90.00
Atoms (fractional coordinates):
Mn: 0.750 0.250 0.500
Mn: 0.250 0.750 0.500
Li: 0.600 0.600 0.799
Li: 0.400 0.400 0.201
Pd: 0.000 0.000 0.000

**Space group**: I4/mmm, No. 139
**E_form**: 329 meV/atom
**Distance to the lowest polymorph of the same formula**: 0 meV/atom

VASP calculation (PBE) on crystalline TbSm8 at its relaxed geometry.

abc: 5.120 8.094 8.094
angles: 84.26 71.56 71.56
Atoms (fractional coordinates):
Sm: 0.334 0.000 0.332
Sm: 0.000 0.333 0.667
Sm: 0.666 0.668 0.000
Sm: 0.334 0.332 0.000
Sm: 0.000 0.667 0.333
Sm: 0.333 0.667 0.667
Sm: 0.666 0.000 0.668
Sm: 0.667 0.333 0.333
Tb: 0.000 0.000 0.000

**Space group**: I4/mmm, No. 139
**E_form**: 14 meV/atom

VASP calculation (PBE) on crystalline SiAgMo at its relaxed geometry.

abc: 6.704 6.704 6.704
angles: 156.48 156.48 33.51
Atoms (fractional coordinates):
Ag: 0.001 0.001 0.000
Si: 0.677 0.677 0.000
Mo: 0.322 0.322 0.000

**Space group**: I4mm, No. 107
**Distance to the lowest polymorph of the same formula**: 77 meV/atom